Entry 1:
Below is crystalline Tb2AlSiI2 at its relaxed geometry, with properties calculated at the PBE level.

Output
The value obtained for the total magnetization is 0.013 Bohr magnetons per cell. The calculated volume comes out at 31.34 A^3/atom.

Cell and atoms, written as CIF:
```
data_Tb2AlSiI2
_symmetry_space_group_name_H-M 'P 3 m 1'
_symmetry_Int_Tables_number 156
_cell_length_a 4.1582
_cell_length_b 4.1582
_cell_length_c 12.5597
_cell_angle_alpha 90.00
_cell_angle_beta 90.00
_cell_angle_gamma 120.00
loop_
_symmetry_equiv_pos_as_xyz
'x,y,z'
'-y,x-y,z'
'-x+y,-x,z'
'-y,-x,z'
'-x+y,y,z'
'x,x-y,z'
loop_
_atom_site_label
_atom_site_fract_x
_atom_site_fract_y
_atom_site_fract_z
Tb1 0.0000 0.0000 0.0000
Tb2 0.0000 0.0000 0.3190
Al1 0.6667 0.3333 0.1715
Si1 0.3333 0.6667 0.1456
I1 0.3333 0.6667 0.4803
I2 0.6667 0.3333 0.8379
```

Entry 2:
Below is crystalline TbSmAl2I2 at its relaxed geometry, with properties calculated at the PBE level.

Output
The value obtained for the total magnetization is 0.002 Bohr magnetons per cell. The calculated volume comes out at 32.66 A^3/atom.

Cell and atoms, written as CIF:
```
data_TbSmAl2I2
_symmetry_space_group_name_H-M 'P 3 m 1'
_symmetry_Int_Tables_number 156
_cell_length_a 4.3175
_cell_length_b 4.3175
_cell_length_c 12.1384
_cell_angle_alpha 90.00
_cell_angle_beta 90.00
_cell_angle_gamma 120.00
loop_
_symmetry_equiv_pos_as_xyz
'x,y,z'
'-y,x-y,z'
'-x+y,-x,z'
'-y,-x,z'
'-x+y,y,z'
'x,x-y,z'
loop_
_atom_site_label
_atom_site_fract_x
_atom_site_fract_y
_atom_site_fract_z
Tb1 0.0000 0.0000 0.0000
Sm1 0.0000 0.0000 0.6579
Al1 0.3333 0.6667 0.8461
Al2 0.6667 0.3333 0.8166
I1 0.3333 0.6667 0.4921
I2 0.6667 0.3333 0.1608
```

Entry 3:
Below is crystalline TbAlI7 at its relaxed geometry, with properties calculated at the PBE level.

Output
The value obtained for the total magnetization is 2.001 Bohr magnetons per cell. The calculated volume comes out at 54.72 A^3/atom.

Cell and atoms, written as CIF:
```
data_TbAlI7
_symmetry_space_group_name_H-M 'P 1 c 1'
_symmetry_Int_Tables_number 7
_cell_length_a 8.004
_cell_length_b 7.135
_cell_length_c 17.885
_cell_angle_alpha 90.00
_cell_angle_beta 105.34
_cell_angle_gamma 90.00
loop_
_symmetry_equiv_pos_as_xyz
'x,y,z'
'x,-y,z+1/2'
loop_
_atom_site_label
_atom_site_fract_x
_atom_site_fract_y
_atom_site_fract_z
Tb1 0.000 0.075 0.000
Al1 0.733 0.490 0.870
I1 0.046 0.371 0.878
I2 0.183 0.263 0.150
I3 0.291 0.131 0.482
I4 0.526 0.354 0.751
I5 0.678 0.362 0.997
I6 0.720 0.145 0.367
I7 0.911 0.088 0.638
```

The following total energy values (in eV for the cell shown) correspond, in order, to the records above: -27.6; -25.4; -53.2.